Entry A
## KNa2Sb2 (SCAN)

Data for a PBEsol-optimized structure of KNa2Sb2.

The calculation puts the calculated volume at 330.3 Å³/cell. Its density of states at the Fermi level is 4.47 states/eV per cell.

It has space group I4/mmm (No. 139), with a = 5.034 Å, b = 5.034 Å, c = 13.035 Å, α = 90.00°, β = 90.00° and γ = 90.00°. The inequivalent atoms are K at (0.000, 0.000, 0.000), Na at (0.000, 0.500, 0.250) and Sb at (0.000, 0.000, 0.395).



Entry B
## KNa2Sb2 (SCAN)

Data for a PBEsol-optimized structure of KNa2Sb2.

The calculation puts the calculated volume at 295.4 Å³/cell. Its density of states at the Fermi level is 5.31 states/eV per cell.

It has space group P4/mbm (No. 127), with a = 9.579 Å, b = 9.579 Å, c = 3.220 Å, α = 90.00°, β = 90.00° and γ = 90.00°. The inequivalent atoms are K at (0.000, 0.000, 0.000), Na at (0.125, 0.375, 0.500) and Sb at (0.170, 0.670, 0.000).



Name the most stable of them. entry A.



Entry A
## K3Nb3Si2O13 (SCAN)

Data for a PBEsol-optimized structure of K3Nb3Si2O13.

The calculation puts the calculated volume at 569.7 Å³/cell. Its density of states at the Fermi level is 0.00 states/eV per cell.

It has space group P-62m (No. 189), with a = 9.1687 Å, b = 9.1687 Å, c = 7.8257 Å, α = 90.00°, β = 90.00° and γ = 120.00°. The inequivalent atoms are K at (0.0000, 0.5979, 0.0000), K at (0.0000, 0.6069, 0.5000), Nb at (0.0000, 0.2379, 0.2504), Si at (0.3333, 0.6667, 0.2889), O at (0.0000, 0.2266, 0.0000), O at (0.0000, 0.2775, 0.5000), O at (0.0000, 0.8250, 0.2712), O at (0.1821, 0.4860, 0.2254) and O at (0.3333, 0.6667, 0.5000).



Entry B
## K3Nb3Si2O13 (SCAN)

Data for a PBEsol-optimized structure of K3Nb3Si2O13.

The calculation puts the calculated volume at 573.1 Å³/cell. Its density of states at the Fermi level is 0.00 states/eV per cell.

It has space group P-62c (No. 190), with a = 9.1651 Å, b = 9.1651 Å, c = 7.8788 Å, α = 90.00°, β = 90.00° and γ = 120.00°. The inequivalent atoms are K at (0.0315, 0.6169, 0.2500), Nb at (0.0000, 0.2387, 0.0000), Si at (0.3333, 0.6667, 0.5429), O at (0.0000, 0.8245, 0.0000), O at (0.0151, 0.2617, 0.7500), O at (0.1808, 0.4878, 0.0230) and O at (0.3333, 0.6667, 0.7500).



Name the most stable of them. entry B.



Entry A
## KNi2Os (SCAN)

Data for a PBEsol-optimized structure of KNi2Os.

The calculation puts the calculated volume at 70.1 Å³/cell. Its density of states at the Fermi level is 4.02 states/eV per cell.

It has space group Pm (No. 6), with a = 2.591 Å, b = 3.993 Å, c = 6.885 Å, α = 90.00°, β = 100.25° and γ = 90.00°. The inequivalent atoms are K at (0.000, 0.000, 0.000), Ni at (0.661, 0.500, 0.314), Ni at (0.751, 0.000, 0.512) and Os at (0.303, 0.500, 0.619).



Entry B
## KNi2Os (SCAN)

Data for a PBEsol-optimized structure of KNi2Os.

The calculation puts the calculated volume at 115.2 Å³/cell. Its density of states at the Fermi level is 8.11 states/eV per cell.

It has space group Cmmm (No. 65), with a = 6.699 Å, b = 6.710 Å, c = 2.562 Å, α = 90.00°, β = 90.00° and γ = 90.00°. The inequivalent atoms are K at (0.000, 0.000, 0.000), Ni at (0.250, 0.250, 0.500) and Os at (0.000, 0.500, 0.000).



Name the most stable of them. entry A.